The following is a DFT calculation (PBEsol) of a relaxed structure of ScNi3. Values from VASP.

## Properties
**ΔH_f (0 K)**: -390 meV per atom
**D(E_F)**: 10.1 states/eV/cell

Cell and atoms, written as Quantum ESPRESSO input:
```
&SYSTEM
  ibrav = 0, nat = 8, ntyp = 2
/
ATOMIC_SPECIES
Sc 44.96 Sc.upf
Ni 58.69 Ni.upf
CELL_PARAMETERS angstrom
4.147 0.000 0.000
0.000 5.235 0.000
0.000 -2.618 4.534
ATOMIC_POSITIONS angstrom
Sc 1.037 0.000 3.022
Sc 3.110 2.618 1.511
Ni 1.037 2.618 3.113
Ni 3.110 0.000 1.420
Ni 1.037 4.005 0.710
Ni 1.037 1.230 0.710
Ni 3.110 -1.388 3.824
Ni 3.110 1.388 3.824
```

---

The following is a DFT calculation (PBEsol) of a relaxed structure of ScNi5. Values from VASP.

## Properties
**ΔH_f (0 K)**: -285 meV per atom
**D(E_F)**: 6.8 states/eV/cell

Cell and atoms, written as Quantum ESPRESSO input:
```
&SYSTEM
  ibrav = 0, nat = 6, ntyp = 2
/
ATOMIC_SPECIES
Ni 58.69 Ni.upf
Sc 44.96 Sc.upf
CELL_PARAMETERS angstrom
-2.301 -2.847 -1.367
3.516 -3.044 0.421
-2.946 0.672 3.560
ATOMIC_POSITIONS angstrom
Ni -1.942 -1.990 1.831
Ni 0.282 -1.174 1.970
Ni -1.488 0.339 1.799
Ni 1.776 -1.538 0.213
Ni 0.211 -3.229 0.784
Sc -1.151 -1.424 -0.683
```

---

The following is a DFT calculation (PBEsol) of a relaxed structure of Sc3Ni. Values from VASP.

## Properties
**ΔH_f (0 K)**: -279 meV per atom
**D(E_F)**: 19.0 states/eV/cell

Cell and atoms, written as Quantum ESPRESSO input:
```
&SYSTEM
  ibrav = 0, nat = 16, ntyp = 2
/
ATOMIC_SPECIES
Sc 44.96 Sc.upf
Ni 58.69 Ni.upf
CELL_PARAMETERS angstrom
-1.074 3.259 -4.762
1.703 -4.743 -3.630
-8.162 -2.849 -0.108
ATOMIC_POSITIONS angstrom
Sc -2.942 2.034 -4.326
Sc -1.806 -1.199 -4.883
Sc 0.483 -2.808 -3.384
Sc -3.914 -3.219 -6.291
Sc -4.591 -6.367 -4.174
Sc -3.619 -1.114 -2.209
Sc -0.504 -0.026 -2.168
Sc -4.901 -0.438 -5.075
Sc -8.016 -1.525 -5.116
Sc -5.727 -3.134 -3.617
Sc -2.632 -3.895 -3.426
Sc -7.029 -4.307 -6.332
Ni -6.149 -1.804 -6.818
Ni -1.385 -2.529 -1.682
Ni -0.992 -3.509 -5.531
Ni -6.542 -0.824 -2.970
```

---

The following is a DFT calculation (PBEsol) of a relaxed structure of Sc5Ni3. Values from VASP.

## Properties
**ΔH_f (0 K)**: -353 meV per atom
**D(E_F)**: 13.6 states/eV/cell

Cell and atoms, written as Quantum ESPRESSO input:
```
&SYSTEM
  ibrav = 0, nat = 16, ntyp = 2
/
ATOMIC_SPECIES
Sc 44.96 Sc.upf
Ni 58.69 Ni.upf
CELL_PARAMETERS angstrom
-3.005 4.565 -0.244
-4.180 -2.436 5.924
6.277 4.197 1.218
ATOMIC_POSITIONS angstrom
Sc -3.915 -0.703 4.423
Sc -0.694 -0.225 4.355
Sc 1.289 4.269 2.665
Sc 2.791 1.986 2.786
Sc -0.242 1.569 1.675
Sc -3.270 2.832 1.257
Sc -0.667 4.757 5.223
Sc -2.197 2.058 4.233
Sc -0.728 4.444 0.113
Sc 4.000 4.318 0.861
Ni -4.748 1.970 3.352
Ni 1.491 5.928 0.544
Ni 0.500 2.192 4.200
Ni -1.408 4.134 2.698
Ni 1.781 2.834 0.430
Ni -2.437 0.159 2.329
```

---

The following is a DFT calculation (PBEsol) of a relaxed structure of Sc3Ni. Values from VASP.

## Properties
**ΔH_f (0 K)**: -225 meV per atom
**D(E_F)**: 4.6 states/eV/cell

Cell and atoms, written as Quantum ESPRESSO input:
```
&SYSTEM
  ibrav = 0, nat = 4, ntyp = 2
/
ATOMIC_SPECIES
Sc 44.96 Sc.upf
Ni 58.69 Ni.upf
CELL_PARAMETERS angstrom
-1.937 1.553 -2.164
-2.833 -3.818 -0.203
-0.302 2.930 4.879
ATOMIC_POSITIONS angstrom
Sc -0.969 0.776 -1.082
Sc -3.476 -0.403 0.317
Sc -1.596 1.068 2.196
Ni -1.417 -1.909 -0.101
```

---

The following is a DFT calculation (PBEsol) of a relaxed structure of Sc3Ni4. Values from VASP.

## Properties
**ΔH_f (0 K)**: -454 meV per atom
**D(E_F)**: 7.7 states/eV/cell

Cell and atoms, written as Quantum ESPRESSO input:
```
&SYSTEM
  ibrav = 0, nat = 14, ntyp = 2
/
ATOMIC_SPECIES
Sc 44.96 Sc.upf
Ni 58.69 Ni.upf
CELL_PARAMETERS angstrom
5.131 0.000 0.000
-1.710 6.771 0.000
-1.710 -3.385 5.864
ATOMIC_POSITIONS angstrom
Sc 2.056 -1.227 5.109
Sc -2.056 3.811 3.617
Sc 0.346 1.653 4.372
Sc -0.346 4.612 0.755
Sc 3.767 -0.426 2.247
Sc 1.364 1.733 1.492
Ni 0.570 3.919 3.014
Ni 0.000 0.000 0.000
Ni -1.140 2.201 1.887
Ni 2.851 1.184 3.976
Ni -0.570 -0.651 4.901
Ni 1.140 -0.534 2.850
Ni 2.281 4.036 0.962
Ni 2.566 0.000 0.000
```

---

The following is a DFT calculation (PBEsol) of a relaxed structure of ScNi2. Values from VASP.

## Properties
**ΔH_f (0 K)**: -537 meV per atom
**D(E_F)**: 4.2 states/eV/cell

Cell and atoms, written as Quantum ESPRESSO input:
```
&SYSTEM
  ibrav = 0, nat = 6, ntyp = 2
/
ATOMIC_SPECIES
Sc 44.96 Sc.upf
Ni 58.69 Ni.upf
CELL_PARAMETERS angstrom
4.814 0.000 0.000
2.407 4.169 0.000
2.407 1.390 3.931
ATOMIC_POSITIONS angstrom
Sc 4.814 2.779 1.965
Sc 7.221 4.169 2.948
Ni 2.407 1.390 2.457
Ni 1.204 0.695 0.491
Ni 3.611 0.695 0.491
Ni 2.407 2.779 0.491
```

---

The following is a DFT calculation (PBEsol) of a relaxed structure of ScNi2. Values from VASP.

## Properties
**ΔH_f (0 K)**: -87 meV per atom
**D(E_F)**: 2.3 states/eV/cell

Cell and atoms, written as Quantum ESPRESSO input:
```
&SYSTEM
  ibrav = 0, nat = 3, ntyp = 2
/
ATOMIC_SPECIES
Ni 58.69 Ni.upf
Sc 44.96 Sc.upf
CELL_PARAMETERS angstrom
-0.619 -2.843 1.658
2.437 -1.529 -1.712
2.660 1.071 2.830
ATOMIC_POSITIONS angstrom
Ni 1.021 -0.886 2.244
Ni 2.549 -0.229 0.559
Sc 0.000 0.000 0.000
```

---

The following is a DFT calculation (PBEsol) of a relaxed structure of ScNi2. Values from VASP.

## Properties
**ΔH_f (0 K)**: 254 meV per atom
**D(E_F)**: 1.3 states/eV/cell

Cell and atoms, written as Quantum ESPRESSO input:
```
&SYSTEM
  ibrav = 0, nat = 3, ntyp = 2
/
ATOMIC_SPECIES
Ni 58.69 Ni.upf
Sc 44.96 Sc.upf
CELL_PARAMETERS angstrom
-0.229 2.404 -3.244
0.558 -1.536 -3.699
-3.126 -0.330 -2.545
ATOMIC_POSITIONS angstrom
Ni -2.097 0.403 -7.116
Ni -0.699 0.134 -2.372
Sc 0.000 0.000 0.000
```

---

The following is a DFT calculation (PBEsol) of a relaxed structure of ScNi2. Values from VASP.

## Properties
**ΔH_f (0 K)**: -432 meV per atom
**D(E_F)**: 5.0 states/eV/cell

Cell and atoms, written as Quantum ESPRESSO input:
```
&SYSTEM
  ibrav = 0, nat = 12, ntyp = 2
/
ATOMIC_SPECIES
Sc 44.96 Sc.upf
Ni 58.69 Ni.upf
CELL_PARAMETERS angstrom
3.670 0.000 0.000
0.000 3.670 0.000
-1.835 -1.835 11.666
ATOMIC_POSITIONS angstrom
Sc 0.000 1.835 4.068
Sc 0.000 1.835 7.598
Sc 1.835 1.835 9.901
Sc 0.000 0.000 1.765
Ni 0.000 1.835 11.662
Ni 1.835 0.000 7.688
Ni 0.000 1.835 0.004
Ni 1.835 0.000 3.978
Ni 0.000 0.000 5.829
Ni 1.835 1.835 1.855
Ni 0.000 0.000 9.811
Ni 1.835 1.835 5.837
```

---

The following is a DFT calculation (PBEsol) of a relaxed structure of Sc2NiSe. Values from VASP.

## Properties
**VASP energy**: -6.48 eV/atom
**D(E_F)**: 3.8 states/eV/cell

Cell and atoms, written as Quantum ESPRESSO input:
```
&SYSTEM
  ibrav = 0, nat = 4, ntyp = 3
/
ATOMIC_SPECIES
Ni 58.69 Ni.upf
Sc 44.96 Sc.upf
Se 78.96 Se.upf
CELL_PARAMETERS angstrom
3.980 0.000 0.000
1.990 4.284 0.010
1.990 1.434 4.037
ATOMIC_POSITIONS angstrom
Ni 1.990 2.859 2.024
Sc 3.980 1.455 1.030
Sc 3.980 4.263 3.018
Se 1.990 0.000 0.000
```

---

The following is a DFT calculation (PBEsol) of a relaxed structure of ScNiSe. Values from VASP.

## Properties
**VASP energy**: -6.19 eV/atom
**D(E_F)**: 2.2 states/eV/cell

Cell and atoms, written as Quantum ESPRESSO input:
```
&SYSTEM
  ibrav = 0, nat = 3, ntyp = 3
/
ATOMIC_SPECIES
Ni 58.69 Ni.upf
Sc 44.96 Sc.upf
Se 78.96 Se.upf
CELL_PARAMETERS angstrom
-0.632 1.537 -3.079
-3.108 -1.601 -0.161
0.205 3.076 3.482
ATOMIC_POSITIONS angstrom
Ni -3.496 2.941 0.197
Sc -1.108 2.026 1.239
Se -2.466 1.059 -0.953
```

---

The following is a DFT calculation (PBEsol) of a relaxed structure of ScNiSe. Values from VASP.

## Properties
**VASP energy**: -6.01 eV/atom
**D(E_F)**: 1.9 states/eV/cell

Cell and atoms, written as Quantum ESPRESSO input:
```
&SYSTEM
  ibrav = 0, nat = 3, ntyp = 3
/
ATOMIC_SPECIES
Sc 44.96 Sc.upf
Se 78.96 Se.upf
Ni 58.69 Ni.upf
CELL_PARAMETERS angstrom
-0.936 -1.826 3.753
-1.811 -3.873 0.101
2.248 -3.377 1.355
ATOMIC_POSITIONS angstrom
Sc -0.375 -6.807 3.907
Se 0.000 0.000 0.000
Ni -0.250 -4.538 2.605
```

---

The following is a DFT calculation (PBEsol) of a relaxed structure of ScNiSe2. Values from VASP.

## Properties
**VASP energy**: -5.79 eV/atom
**D(E_F)**: 2.5 states/eV/cell

Cell and atoms, written as Quantum ESPRESSO input:
```
&SYSTEM
  ibrav = 0, nat = 4, ntyp = 3
/
ATOMIC_SPECIES
Se 78.96 Se.upf
Sc 44.96 Sc.upf
Ni 58.69 Ni.upf
CELL_PARAMETERS angstrom
-1.281 -3.392 0.565
0.621 0.365 3.598
-4.227 3.334 -1.480
ATOMIC_POSITIONS angstrom
Se 0.000 0.000 0.000
Se -2.919 -0.785 0.583
Sc -1.968 1.093 2.100
Ni -0.330 -1.514 2.081
```

---

The following is a DFT calculation (PBEsol) of a relaxed structure of ScSiNi6. Values from VASP.

## Properties
**VASP energy**: -6.61 eV/atom
**D(E_F)**: 35.4 states/eV/cell

Cell and atoms, written as Quantum ESPRESSO input:
```
&SYSTEM
  ibrav = 0, nat = 32, ntyp = 3
/
ATOMIC_SPECIES
Ni 58.69 Ni.upf
Sc 44.96 Sc.upf
Si 28.09 Si.upf
CELL_PARAMETERS angstrom
6.162 -0.001 0.000
-2.183 5.762 0.000
0.000 0.000 10.119
ATOMIC_POSITIONS angstrom
Ni 2.076 0.819 6.403
Ni 1.989 2.881 0.000
Ni 1.902 4.942 3.716
Ni -0.020 2.243 1.202
Ni 2.076 0.819 3.716
Ni 3.999 3.518 1.202
Ni 4.072 1.442 2.412
Ni 0.000 0.000 5.059
Ni 1.902 4.942 6.403
Ni 0.000 0.000 0.000
Ni 3.948 3.529 3.716
Ni 3.948 3.529 6.403
Ni -0.093 4.319 7.707
Ni 1.874 4.985 1.202
Ni 2.105 0.776 1.202
Ni 2.105 0.776 8.917
Ni 0.031 2.232 3.716
Ni -0.020 2.243 8.917
Ni 0.031 2.232 6.403
Ni 4.072 1.442 7.707
Ni 1.874 4.985 8.917
Ni 3.999 3.518 8.917
Ni 1.989 2.881 5.059
Ni -0.093 4.319 2.412
Sc 4.150 1.389 5.059
Sc 0.000 0.000 7.603
Sc 0.000 0.000 2.516
Sc -0.171 4.373 5.059
Si -0.225 4.410 0.000
Si 1.989 2.881 7.618
Si 4.204 1.351 0.000
Si 1.989 2.881 2.500
```

---

The following is a DFT calculation (PBEsol) of a relaxed structure of ScSiNi2. Values from VASP.

## Properties
**VASP energy**: -6.59 eV/atom
**D(E_F)**: 2.8 states/eV/cell

Cell and atoms, written as Quantum ESPRESSO input:
```
&SYSTEM
  ibrav = 0, nat = 4, ntyp = 3
/
ATOMIC_SPECIES
Si 28.09 Si.upf
Ni 58.69 Ni.upf
Sc 44.96 Sc.upf
CELL_PARAMETERS angstrom
4.184 0.000 0.000
2.092 3.623 0.000
2.092 1.208 3.416
ATOMIC_POSITIONS angstrom
Si 2.092 1.208 0.854
Ni 6.276 3.623 2.562
Ni 0.000 0.000 0.000
Sc 4.184 2.415 1.708
```

---

The following is a DFT calculation (PBEsol) of a relaxed structure of ScSiNi. Values from VASP.

## Properties
**VASP energy**: -6.02 eV/atom
**D(E_F)**: 2.3 states/eV/cell

Cell and atoms, written as Quantum ESPRESSO input:
```
&SYSTEM
  ibrav = 0, nat = 3, ntyp = 3
/
ATOMIC_SPECIES
Sc 44.96 Sc.upf
Si 28.09 Si.upf
Ni 58.69 Ni.upf
CELL_PARAMETERS angstrom
4.214 0.000 0.000
2.107 3.650 0.000
2.107 1.217 3.441
ATOMIC_POSITIONS angstrom
Sc 2.107 1.217 0.860
Si 0.000 0.000 0.000
Ni 4.214 2.433 1.720
```

---

The following is a DFT calculation (PBEsol) of a relaxed structure of ScSiNi. Values from VASP.

## Properties
**VASP energy**: -7.12 eV/atom
**D(E_F)**: 6.1 states/eV/cell

Cell and atoms, written as Quantum ESPRESSO input:
```
&SYSTEM
  ibrav = 0, nat = 12, ntyp = 3
/
ATOMIC_SPECIES
Si 28.09 Si.upf
Ni 58.69 Ni.upf
Sc 44.96 Sc.upf
CELL_PARAMETERS angstrom
3.974 0.000 0.000
0.000 6.358 0.000
0.000 0.000 6.869
ATOMIC_POSITIONS angstrom
Si 0.993 5.104 4.072
Si 0.993 1.925 6.232
Si 2.980 4.433 0.637
Si 2.980 1.254 2.797
Ni 2.980 1.998 0.549
Ni 0.993 1.180 3.984
Ni 2.980 5.177 2.885
Ni 0.993 4.359 6.320
Sc 0.993 3.132 2.048
Sc 2.980 3.226 4.821
Sc 0.993 6.311 1.386
Sc 2.980 0.047 5.483
```

---

The following is a DFT calculation (PBEsol) of a relaxed structure of ScSiNi2. Values from VASP.

## Properties
**VASP energy**: -6.66 eV/atom
**D(E_F)**: 2.9 states/eV/cell

Cell and atoms, written as Quantum ESPRESSO input:
```
&SYSTEM
  ibrav = 0, nat = 4, ntyp = 3
/
ATOMIC_SPECIES
Sc 44.96 Sc.upf
Ni 58.69 Ni.upf
Si 28.09 Si.upf
CELL_PARAMETERS angstrom
-0.095 -2.803 -1.280
-0.824 -1.633 3.637
-4.197 1.599 -0.233
ATOMIC_POSITIONS angstrom
Sc -2.241 -0.545 -0.752
Ni -4.193 1.199 -0.412
Ni -1.334 -2.669 0.778
Si -3.692 0.176 1.521
```

---

The following is a DFT calculation (PBEsol) of a relaxed structure of Sc3Si4Ni2. Values from VASP.

## Properties
**VASP energy**: -7.04 eV/atom
**D(E_F)**: 14.4 states/eV/cell

Cell and atoms, written as Quantum ESPRESSO input:
```
&SYSTEM
  ibrav = 0, nat = 36, ntyp = 3
/
ATOMIC_SPECIES
Ni 58.69 Ni.upf
Si 28.09 Si.upf
Sc 44.96 Sc.upf
CELL_PARAMETERS angstrom
-1.764 -0.184 3.532
9.428 -5.053 4.445
4.385 10.595 2.743
ATOMIC_POSITIONS angstrom
Ni 6.548 2.460 6.716
Ni 5.501 2.897 4.005
Ni 4.366 -0.889 3.240
Ni 1.952 6.313 4.622
Ni 10.098 -0.956 6.099
Ni 3.793 9.720 5.719
Ni 8.256 -4.363 5.001
Ni 7.684 6.245 7.481
Si 3.946 1.468 3.153
Si 2.445 5.302 2.604
Si 7.197 1.501 4.778
Si 1.880 2.194 2.159
Si 5.623 6.095 6.444
Si 8.104 3.889 7.567
Si 9.604 0.055 8.117
Si 10.170 3.163 8.561
Si 4.853 3.856 5.942
Si 11.196 5.265 9.184
Si 3.815 7.445 5.611
Si 6.426 -0.738 4.276
Si 8.234 -2.088 5.109
Si 9.066 7.381 6.019
Si 2.984 -2.024 4.702
Si 0.853 0.092 1.537
Sc 6.459 8.182 4.759
Sc 10.333 5.161 6.536
Sc 7.476 4.608 5.080
Sc 2.379 3.331 4.679
Sc 4.756 5.604 3.774
Sc 8.738 -3.106 7.519
Sc 1.716 0.196 4.185
Sc 5.591 -2.825 5.962
Sc 4.574 0.749 5.640
Sc 7.293 -0.247 6.947
Sc 3.311 8.463 3.201
Sc 9.671 2.026 6.041
```